A plane-wave DFT calculation with PBE-GGA was carried out for a geometry-optimized MgZn2HgBr structure.

Unit cell a=5.323 b=5.323 c=5.452 alpha=90.00 beta=90.00 gamma=90.00
Fractional coordinates of all 5 atoms:
Mg1 0.000 0.000 0.000
Zn1 0.000 0.500 0.000
Zn2 0.500 0.000 0.000
Hg1 0.000 0.000 0.500
Br1 0.500 0.500 0.500

Values from the calculation:
Formation energy (no corrections) in eV/atom: 0.14
Calculated density in g/cm3: 4.68
DFT total energy in eV per cell: -5.41
N(E_F) in states/eV/cell: 1.3

---

A plane-wave DFT calculation with PBE-GGA was carried out for a geometry-optimized LiPr3Pu3Se8 structure.

Unit cell a=8.366 b=8.366 c=8.366 alpha=59.89 beta=59.89 gamma=59.89
Fractional coordinates of all 15 atoms:
Li1 0.000 0.000 0.000
Pr1 0.000 0.000 0.500
Pr2 0.000 0.500 0.000
Pr3 0.500 0.000 0.000
Pu1 0.000 0.500 0.500
Pu2 0.500 0.000 0.500
Pu3 0.500 0.500 0.000
Se1 0.245 0.245 0.749
Se2 0.245 0.749 0.245
Se3 0.251 0.755 0.755
Se4 0.253 0.253 0.253
Se5 0.747 0.747 0.747
Se6 0.749 0.245 0.245
Se7 0.755 0.251 0.755
Se8 0.755 0.755 0.251

Values from the calculation:
Formation energy (no corrections) in eV/atom: -1.63
Calculated density in g/cm3: 7.21
DFT total energy in eV per cell: -111.55
N(E_F) in states/eV/cell: 36.8

---

A plane-wave DFT calculation with PBE-GGA was carried out for a geometry-optimized Ce2Sm2Si4Pt structure.

Unit cell a=6.519 b=6.519 c=6.519 alpha=114.00 beta=114.00 gamma=100.75
Fractional coordinates of all 9 atoms:
Ce1 0.161 0.161 0.000
Ce2 0.839 0.839 0.000
Sm1 0.250 0.750 0.500
Sm2 0.750 0.250 0.500
Si1 0.259 0.259 0.519
Si2 0.259 0.741 0.000
Si3 0.741 0.259 0.000
Si4 0.741 0.741 0.481
Pt1 0.500 0.500 0.000

Values from the calculation:
Formation energy (no corrections) in eV/atom: -0.42
Calculated density in g/cm3: 7.04
DFT total energy in eV per cell: -52.78
N(E_F) in states/eV/cell: 9.0

---

A plane-wave DFT calculation with PBE-GGA was carried out for a geometry-optimized Tm4InHgC structure.

Unit cell a=8.179 b=8.179 c=6.833 alpha=90.00 beta=90.00 gamma=130.64
Fractional coordinates of all 14 atoms:
Tm1 0.000 0.500 0.000
Tm2 0.000 0.500 0.500
Tm3 0.084 0.916 0.750
Tm4 0.412 0.588 0.750
Tm5 0.500 0.000 0.000
Tm6 0.500 0.000 0.500
Tm7 0.588 0.412 0.250
Tm8 0.916 0.084 0.250
In1 0.383 0.617 0.250
In2 0.617 0.383 0.750
Hg1 0.118 0.882 0.250
Hg2 0.882 0.118 0.750
C1 0.248 0.752 0.750
C2 0.752 0.248 0.250

Values from the calculation:
Energy relative to the elements in eV per atom: -0.37
Calculated density in g/cm3: 9.60
DFT total energy in eV per cell: -65.55
N(E_F) in states/eV/cell: 13.1

---

A plane-wave DFT calculation with PBE-GGA was carried out for a geometry-optimized RbAcSb structure.

Unit cell a=11.106 b=11.106 c=11.106 alpha=160.06 beta=142.68 gamma=42.67
Fractional coordinates of all 6 atoms:
Rb1 0.184 0.184 0.000
Rb2 0.816 0.816 0.000
Ac1 0.265 0.500 0.765
Ac2 0.735 0.500 0.235
Sb1 0.362 0.362 0.000
Sb2 0.638 0.638 0.000

Values from the calculation:
Formation energy (no corrections) in eV/atom: -0.16
Calculated density in g/cm3: 5.10
DFT total energy in eV per cell: -19.37
ΔE to the lowest computed polymorph in eV/f.u.: 0.93
N(E_F) in states/eV/cell: 3.3

---

> Which formula does entry 2 have?

LiPr3Pu3Se8

---

> calculated density of number 3 (Ce2Sm2Si4Pt)?

7.04 g/cm3

---

> The highest calculated density belongs to which entry?

Tm4InHgC